First-principles (PBE-GGA) data for a relaxed FeSi2As crystal, as listed in the Alexandria database.

Cell: 4.626 4.626 4.626 Å, 137.04 122.03 74.80°
Last column: magnetic moment on the atom in μB.
Sites, in units of the cell vectors:
As 0.505 0.505 0.000  -0.01
Si 0.004 0.004 0.000  -0.01
Si 0.760 0.260 0.500  0.00
Fe 0.231 0.731 0.500  0.20

Results
- Raw formation energy: 0.39 eV/atom
- N(E_F): 0.78 states/eV/atom

First-principles (PBE-GGA) data for a relaxed TaFe2SiAs crystal, as listed in the Alexandria database.

Cell: 4.090 4.711 4.090 Å, 90.00 90.00 90.00°
Last column: magnetic moment on the atom in μB.
Sites, in units of the cell vectors:
Fe 0.500 0.000 0.000  1.82
Fe 0.000 0.000 0.500  1.77
Ta 0.500 0.500 0.500  -0.42
As 0.000 0.500 0.000  0.05
Si 0.000 0.000 0.000  -0.09

Results
- Raw formation energy: 0.92 eV/atom
- N(E_F): 1.15 states/eV/atom